P2IrS after structural relaxation. Source: the Alexandria database, functional PBE.

## Properties
Energy relative to the elements, uncorrected = -0.24 eV/atom
Electronic total energy = -6.187 eV/atom
V = 18.1 Å³ per atom

Unit cell a=3.5161 b=3.7925 c=6.4497 alpha=74.56 beta=74.20 gamma=62.39
Last column: nearest neighbours and their distance in Å.
Space group P1 (No. 1)
One atom of each set of equivalent atoms:
1 P 0.0000 0.0000 0.0000  1 S 2.15, 2 Ir 2.39
2 P 0.2411 0.1609 0.3573  1 S 2.11
3 Ir 0.6156 0.5894 0.1797  6 P 2.37-2.43
4 S 0.2427 0.8392 0.6786  2 P 2.11-2.15

PIrS after structural relaxation. Source: the Alexandria database, functional PBE.

## Properties
Energy relative to the elements, uncorrected = -0.46 eV/atom
Electronic total energy = -6.592 eV/atom
V = 17.2 Å³ per atom

Unit cell a=3.7209 b=3.7209 c=12.8873 alpha=90.00 beta=90.00 gamma=120.00
Last column: nearest neighbours and their distance in Å.
Space group R3m (No. 160, hexagonal axes)
One atom of each set of equivalent atoms:
1 P 0.0000 0.0000 0.0000  1 S 2.15, 3 Ir 2.36
2 Ir 0.0000 0.0000 0.4083  3 P 2.36, 3 S 2.45
3 S 0.0000 0.0000 0.8329  1 P 2.15

PIr3S after structural relaxation. Source: the Alexandria database, functional PBE.

## Properties
Energy relative to the elements, uncorrected = 1.00 eV/atom
Electronic total energy = -6.219 eV/atom
V = 17.4 Å³ per atom

Unit cell a=4.4302 b=4.4302 c=4.4302 alpha=90.00 beta=90.00 gamma=90.00
Last column: nearest neighbours and their distance in Å.
Space group Pm-3m (No. 221)
One atom of each set of equivalent atoms:
1 P 0.0000 0.0000 0.0000  6 Ir 2.22
2 Ir 0.0000 0.0000 0.5000  2 P 2.22
3 S 0.5000 0.5000 0.5000  12 Ir 3.13

PIrS2 after structural relaxation. Source: the Alexandria database, functional PBE.

## Properties
Energy relative to the elements, uncorrected = 0.36 eV/atom
Electronic total energy = -5.267 eV/atom
V = 18.4 Å³ per atom

Unit cell a=4.8958 b=4.8958 c=12.2941 alpha=90.00 beta=90.00 gamma=90.00
Last column: nearest neighbours and their distance in Å.
Space group I-42d (No. 122)
One atom of each set of equivalent atoms:
1 P 0.0000 0.0000 0.0000  4 S 2.33
2 Ir 0.0000 0.0000 0.5000  4 S 2.29
3 S 0.2423 0.2500 0.6250  2 Ir 2.29, 2 P 2.33

PIrS2 after structural relaxation. Source: the Alexandria database, functional PBE.

## Properties
Energy relative to the elements, uncorrected = 0.15 eV/atom
Electronic total energy = -5.484 eV/atom
V = 19.6 Å³ per atom

Unit cell a=3.5273 b=3.5273 c=21.7747 alpha=90.00 beta=90.00 gamma=120.00
Last column: nearest neighbours and their distance in Å.
Space group R-3m (No. 166, hexagonal axes)
One atom of each set of equivalent atoms:
1 P 0.0000 0.0000 0.0000  2 S 2.42
2 Ir 0.0000 0.0000 0.5000  6 S 2.37
3 S 0.0000 0.0000 0.1111  3 Ir 2.37, 1 P 2.42

PIrS2 after structural relaxation. Source: the Alexandria database, functional PBE.

## Properties
Energy relative to the elements, uncorrected = 0.41 eV/atom
Electronic total energy = -5.223 eV/atom
V = 16.6 Å³ per atom

Unit cell a=3.2515 b=3.2515 c=21.7778 alpha=90.00 beta=90.00 gamma=120.00
Last column: nearest neighbours and their distance in Å.
Space group R-3m (No. 166, hexagonal axes)
One atom of each set of equivalent atoms:
1 P 0.0000 0.0000 0.0000  6 S 2.35
2 Ir 0.0000 0.0000 0.5000  2 S 2.22
3 S 0.0000 0.0000 0.3979  1 Ir 2.22, 3 P 2.35

PIrS3 after structural relaxation. Source: the Alexandria database, functional PBE.

## Properties
Energy relative to the elements, uncorrected = 0.90 eV/atom
Electronic total energy = -4.435 eV/atom
V = 19.6 Å³ per atom

Unit cell a=4.6073 b=4.6073 c=4.6073 alpha=90.00 beta=90.00 gamma=90.00
Last column: nearest neighbours and their distance in Å.
Space group Pm-3m (No. 221)
One atom of each set of equivalent atoms:
1 P 0.0000 0.0000 0.0000  12 S 3.26
2 Ir 0.5000 0.5000 0.5000  6 S 2.30
3 S 0.0000 0.5000 0.5000  2 Ir 2.30

P2IrS after structural relaxation. Source: the Alexandria database, functional PBE.

## Properties
Energy relative to the elements, uncorrected = 0.05 eV/atom
Electronic total energy = -5.904 eV/atom
V = 16.7 Å³ per atom

Unit cell a=4.7192 b=2.8305 c=5.5044 alpha=90.00 beta=114.62 gamma=90.00
Last column: nearest neighbours and their distance in Å.
Space group Pm (No. 6)
One atom of each set of equivalent atoms:
1 P 0.0000 0.0000 0.0000  1 S 2.08, 1 P 2.29
2 P 0.2863 0.0000 0.4535  1 P 2.29, 2 Ir 2.37-2.41
3 Ir 0.8208 0.0000 0.5332  1 S 2.27, 3 P 2.35-2.41
4 S 0.6066 0.0000 0.0792  1 P 2.08, 1 Ir 2.27

PIrS after structural relaxation. Source: the Alexandria database, functional PBE.

## Properties
Energy relative to the elements, uncorrected = -0.10 eV/atom
Electronic total energy = -6.228 eV/atom
V = 17.5 Å³ per atom

Unit cell a=7.6209 b=3.5520 c=4.9364 alpha=90.00 beta=128.26 gamma=90.00
Last column: nearest neighbours and their distance in Å.
Space group Cm (No. 8)
One atom of each set of equivalent atoms:
1 P 0.0000 0.0000 0.0000  1 S 2.14, 2 Ir 2.32
2 Ir 0.1394 0.5000 0.8812  3 P 2.32-2.43, 3 S 2.41-2.49
3 S 0.0043 0.0000 0.4381  1 P 2.14

P2IrS after structural relaxation. Source: the Alexandria database, functional PBE.

## Properties
Energy relative to the elements, uncorrected = -0.06 eV/atom
Electronic total energy = -6.014 eV/atom
V = 16.5 Å³ per atom

Unit cell a=3.0320 b=4.8057 c=5.2956 alpha=115.68 beta=106.47 gamma=90.04
Last column: nearest neighbours and their distance in Å.
Space group P1 (No. 1)
One atom of each set of equivalent atoms:
1 P 0.0000 0.0000 0.0000  1 S 2.08, 1 P 2.30, 2 Ir 2.32
2 P 0.2532 0.3141 0.5010  1 P 2.30, 2 Ir 2.45-2.46
3 Ir 0.3096 0.8682 0.6165  1 S 2.31, 4 P 2.32-2.46
4 S 0.0488 0.6291 0.1065  1 P 2.08, 1 Ir 2.31

PIrS after structural relaxation. Source: the Alexandria database, functional PBE.

## Properties
Energy relative to the elements, uncorrected = -0.03 eV/atom
Electronic total energy = -6.162 eV/atom
V = 17.8 Å³ per atom

Unit cell a=2.9757 b=3.7142 c=4.8422 alpha=90.00 beta=90.70 gamma=90.00
Last column: nearest neighbours and their distance in Å.
Space group Pm (No. 6)
One atom of each set of equivalent atoms:
1 P 0.0000 0.0000 0.0000  1 S 2.07, 2 Ir 2.27
2 Ir 0.0358 0.5000 0.2705  2 P 2.27, 2 S 2.38
3 S 0.0963 0.0000 0.5769  1 P 2.07

PIrS after structural relaxation. Source: the Alexandria database, functional PBE.

## Properties
Energy relative to the elements, uncorrected = 0.00 eV/atom
Electronic total energy = -6.131 eV/atom
V = 18.0 Å³ per atom

Unit cell a=8.1612 b=3.0427 c=4.5223 alpha=90.00 beta=105.36 gamma=90.00
Last column: nearest neighbours and their distance in Å.
Space group Cm (No. 8)
One atom of each set of equivalent atoms:
1 P 0.0000 0.0000 0.0000  2 S 2.25, 3 Ir 2.34-2.40
2 Ir 0.2975 0.0000 0.1162  2 S 2.28-2.44, 3 P 2.34-2.40
3 S 0.3832 0.0000 0.6398  2 P 2.25, 2 Ir 2.28-2.44

PIrS after structural relaxation. Source: the Alexandria database, functional PBE.

## Properties
Energy relative to the elements, uncorrected = 0.01 eV/atom
Electronic total energy = -6.125 eV/atom
V = 17.7 Å³ per atom

Unit cell a=7.7451 b=3.3389 c=4.2768 alpha=90.00 beta=106.01 gamma=90.00
Last column: nearest neighbours and their distance in Å.
Space group Cm (No. 8)
One atom of each set of equivalent atoms:
1 P 0.0000 0.0000 0.0000  1 S 2.12, 3 Ir 2.34-2.36
2 Ir 0.3162 0.0000 0.1197  3 P 2.34-2.36, 2 S 2.47
3 S 0.3054 0.5000 0.5394  1 P 2.12

P2IrS after structural relaxation. Source: the Alexandria database, functional PBE.

## Properties
Energy relative to the elements, uncorrected = -0.04 eV/atom
Electronic total energy = -5.993 eV/atom
V = 23.4 Å³ per atom

Unit cell a=7.5885 b=3.5023 c=7.1725 alpha=90.00 beta=100.87 gamma=90.00
Last column: nearest neighbours and their distance in Å.
Space group Cm (No. 8)
One atom of each set of equivalent atoms:
1 P 0.0000 0.0000 0.0000  1 S 1.91
2 P 0.2344 0.5000 0.7202  3 Ir 2.31-2.40, 1 P 2.56
3 Ir 0.4521 0.0000 0.7971  5 P 2.26-2.40
4 S 0.0630 0.0000 0.2708  1 P 1.91

PIrS after structural relaxation. Source: the Alexandria database, functional PBE.

## Properties
Energy relative to the elements, uncorrected = -0.19 eV/atom
Electronic total energy = -6.326 eV/atom
V = 16.6 Å³ per atom

Unit cell a=3.6649 b=3.0581 c=8.8992 alpha=90.00 beta=90.00 gamma=90.00
Last column: nearest neighbours and their distance in Å.
Space group Amm2 (No. 38)
One atom of each set of equivalent atoms:
1 P 0.0000 0.0000 0.0000  2 S 2.21, 2 Ir 2.27
2 Ir 0.5000 0.0000 0.8503  2 P 2.27, 2 S 2.38
3 S 0.0000 0.0000 0.6788  2 P 2.21, 2 Ir 2.38

SbP2IrS after structural relaxation. Source: the Alexandria database, functional PBE.

## Properties
Energy relative to the elements, uncorrected = 0.52 eV/atom
Electronic total energy = -5.066 eV/atom
V = 20.8 Å³ per atom

Unit cell a=4.5107 b=4.5107 c=5.1154 alpha=90.00 beta=90.00 gamma=90.00
Last column: nearest neighbours and their distance in Å.
Space group P4/mmm (No. 123)
One atom of each set of equivalent atoms:
1 Sb 0.0000 0.0000 0.0000  4 S 3.19, 8 P 3.41
2 P 0.0000 0.5000 0.5000  2 Ir 2.26
3 Ir 0.5000 0.5000 0.5000  4 P 2.26
4 S 0.5000 0.5000 0.0000  2 Ir 2.56

SbPIrS2 after structural relaxation. Source: the Alexandria database, functional PBE.

## Properties
Energy relative to the elements, uncorrected = 0.45 eV/atom
Electronic total energy = -4.875 eV/atom
V = 20.8 Å³ per atom

Unit cell a=4.8675 b=4.8675 c=4.3968 alpha=90.00 beta=90.00 gamma=90.00
Last column: nearest neighbours and their distance in Å.
Space group P4/mmm (No. 123)
One atom of each set of equivalent atoms:
1 Sb 0.0000 0.0000 0.0000  8 S 3.28, 4 P 3.44
2 P 0.5000 0.5000 0.0000  2 Ir 2.20
3 Ir 0.5000 0.5000 0.5000  2 P 2.20, 4 S 2.43
4 S 0.0000 0.5000 0.5000  2 Ir 2.43

SbP2IrS after structural relaxation. Source: the Alexandria database, functional PBE.

## Properties
Energy relative to the elements, uncorrected = 1.75 eV/atom
Electronic total energy = -3.834 eV/atom
V = 23.3 Å³ per atom

Unit cell a=4.9392 b=4.9392 c=4.7768 alpha=90.00 beta=90.00 gamma=90.00
Last column: nearest neighbours and their distance in Å.
Space group P4/mmm (No. 123)
One atom of each set of equivalent atoms:
1 Sb 0.0000 0.0000 0.0000  2 S 2.39, 4 P 2.47
2 P 0.0000 0.5000 0.0000  2 Sb 2.47
3 Ir 0.5000 0.5000 0.5000  8 P 3.44, 4 S 3.49
4 S 0.0000 0.0000 0.5000  2 Sb 2.39

SbPIrS2 after structural relaxation. Source: the Alexandria database, functional PBE.

## Properties
Energy relative to the elements, uncorrected = 1.59 eV/atom
Electronic total energy = -3.736 eV/atom
V = 23.7 Å³ per atom

Unit cell a=4.8452 b=4.8452 c=5.0562 alpha=90.00 beta=90.00 gamma=90.00
Last column: nearest neighbours and their distance in Å.
Space group P4/mmm (No. 123)
One atom of each set of equivalent atoms:
1 Sb 0.0000 0.0000 0.0000  4 S 2.42, 2 P 2.53
2 P 0.0000 0.0000 0.5000  2 Sb 2.53
3 Ir 0.5000 0.5000 0.5000  4 P 3.43, 8 S 3.50
4 S 0.0000 0.5000 0.0000  2 Sb 2.42

ScPIrS2 after structural relaxation. Source: the Alexandria database, functional PBE.

## Properties
Energy relative to the elements, uncorrected = -0.01 eV/atom
Electronic total energy = -5.780 eV/atom
V = 20.5 Å³ per atom

Unit cell a=4.8493 b=4.8493 c=4.3615 alpha=90.00 beta=90.00 gamma=90.00
Last column: nearest neighbours and their distance in Å.
Space group P4/mmm (No. 123)
One atom of each set of equivalent atoms:
1 Sc 0.0000 0.0000 0.0000  8 S 3.26, 4 P 3.43
2 P 0.5000 0.5000 0.0000  2 Ir 2.18
3 Ir 0.5000 0.5000 0.5000  2 P 2.18, 4 S 2.42
4 S 0.0000 0.5000 0.5000  2 Ir 2.42